Arrangement one

The following is a PBE-GGA calculation of a relaxed structure of BaCaAs2Br, from Alexandria via LeMat-Bulk.

Cell: 5.447 5.447 5.684 Å, 90.00 90.00 90.00°
Space group P4/mmm (No. 123)
Unique sites:
Ba: 0.000 0.000 0.000 [1 per cell]
Ca: 0.500 0.500 0.500 [1 per cell]
As: 0.000 0.500 0.500 [2 per cell]
Br: 0.500 0.500 0.000 [1 per cell]

N(E_F)	1.1892	states/eV/atom

***

Arrangement two

The following is a PBE-GGA calculation of a relaxed structure of BaCaAs2Br, from Alexandria via LeMat-Bulk.

Cell: 5.731 5.731 6.031 Å, 90.00 90.00 90.00°
Space group P4/mmm (No. 123)
Unique sites:
Ba: 0.000 0.000 0.000 [1 per cell]
Ca: 0.500 0.500 0.500 [1 per cell]
As: 0.000 0.500 0.000 [2 per cell]
Br: 0.000 0.000 0.500 [1 per cell]

N(E_F)	0.7801	states/eV/atom

***

Relative calculated energies, zero for the most stable structure, unit meV/atom: arrangement one 0; arrangement two 586.